First-principles (meta-GGA SCAN) data for a PBEsol-optimized structure of LiMnPO4, as listed in Alexandria.

It has space group C2/c (No. 15), with a = 8.2517 Å, b = 5.9248 Å, c = 15.8388 Å, α = 90.00°, β = 93.31° and γ = 90.00°. The inequivalent atoms are Li at (0.2498, 0.0003, 0.2501), Mn at (0.1474, 0.2502, 0.0846), P at (0.0134, 0.2497, 0.8688), O at (0.0914, 0.0362, 0.6462), O at (0.0919, 0.4628, 0.6460), O at (0.0976, 0.2497, 0.9593) and O at (0.1574, 0.2502, 0.8100).

The calculation puts the uncorrected formation energy at -2.43 eV per atom.

***

First-principles (meta-GGA SCAN) data for a PBEsol-optimized structure of CaMnCo, as listed in Alexandria.

It has space group I4mm (No. 107), with a = 3.1290 Å, b = 3.1290 Å, c = 10.3892 Å, α = 90.00°, β = 90.00° and γ = 90.00°. The inequivalent atoms are Ca at (0.0000, 0.0000, 0.0000), Mn at (0.0000, 0.0000, 0.2833) and Co at (0.0000, 0.0000, 0.7042).

The value obtained for the formation enthalpy at 0 K is 19.0 kJ per mole of atoms.

***

First-principles (meta-GGA SCAN) data for a PBEsol-optimized structure of TcW8, as listed in Alexandria.

It has space group I4/mmm (No. 139), with a = 9.4280 Å, b = 9.4280 Å, c = 3.1433 Å, α = 90.00°, β = 90.00° and γ = 90.00°. The inequivalent atoms are Tc at (0.0000, 0.0000, 0.0000), W at (0.0000, 0.3322, 0.0000) and W at (0.1664, 0.1664, 0.5000).

The value obtained for the formation enthalpy at 0 K is 1.5 kJ per mole of atoms.

***

| no. | E_tot (eV for the cell shown) | DOS(E_F) (states/eV per atom) |
| --- | --- | --- |
| 1 | -583.7 | 0.00 |
| 2 | -89.3 | 0.63 |
| 3 | -1184.9 | 0.55 |